Record 1
Here is Sr2CaZn3Ag4 after structural relaxation from Alexandria. Energies are from PBE.

extended XYZ file:
```
10
Lattice="4.442 0.000 0.000 0.000 4.442 0.000 0.000 0.000 12.421" Properties=species:S:1:pos:R:3 pbc="T T T"
Sr 2.221 0.000 2.772
Sr 0.000 2.221 9.649
Ca 2.221 2.221 6.211
Zn 0.000 0.000 6.211
Zn 2.221 0.000 10.893
Zn 0.000 2.221 1.528
Ag 2.221 2.221 0.000
Ag 0.000 0.000 0.000
Ag 2.221 0.000 8.237
Ag 0.000 2.221 4.184
```

Calculated values
Formation energy, kJ per mole of atoms: -20.99

---

Record 2
Here is Ho5Hf3Pd12 after structural relaxation from Alexandria. Energies are from PBE.

extended XYZ file:
```
80
Lattice="-10.791 1.684 -8.157 -0.103 -12.632 5.122 -0.551 9.039 10.188" Properties=species:S:1:pos:R:3 pbc="T T T"
Hf -8.201 -2.344 -2.923
Hf -9.588 -6.871 -2.022
Hf -4.468 -3.193 7.150
Hf -2.917 2.232 2.422
Hf -9.593 2.154 -3.950
Hf -4.249 -5.004 2.690
Hf -7.196 3.095 4.464
Hf -1.852 -4.063 11.103
Hf -8.528 -4.141 4.732
Hf -6.977 1.284 0.003
Hf -1.857 4.962 9.176
Hf -3.244 0.435 10.077
Ho -1.525 -2.267 3.448
Ho -0.052 -6.316 2.561
Ho 0.000 0.000 0.000
Ho -4.141 -1.397 -0.505
Ho -5.671 5.361 1.016
Ho -5.447 -5.474 -1.517
Ho -1.633 -5.874 6.643
Ho -8.588 7.593 3.437
Ho -8.364 -3.242 0.904
Ho -4.473 5.832 5.223
Ho -6.972 -7.741 1.931
Ho -5.722 -0.954 3.577
Ho -5.395 0.842 -4.078
Ho -0.276 4.519 5.094
Ho -3.081 1.333 6.249
Ho -2.857 -9.502 3.716
Ho -0.327 -1.796 7.655
Ho -9.812 3.965 0.511
Ho -7.304 -0.512 7.658
Ho -9.920 0.358 3.705
Pd -7.990 0.074 -4.469
Pd -3.976 -2.821 4.546
Pd -10.151 -0.514 -3.027
Pd -6.322 -0.675 -2.001
Pd -6.789 -2.339 5.679
Pd -10.115 -4.214 -2.994
Pd -3.986 -5.368 5.328
Pd -0.935 -10.070 5.588
Pd -6.614 -4.753 6.792
Pd -8.081 -4.759 -1.362
Pd -8.492 -0.872 -0.468
Pd -9.213 -9.637 -1.323
Pd -1.976 -3.831 8.440
Pd -3.906 -4.031 0.220
Pd -1.245 -8.399 7.640
Pd -4.770 3.997 3.206
Pd -1.101 0.267 2.488
Pd -4.680 -6.973 0.636
Pd -9.315 -7.704 0.507
Pd -1.663 -4.314 1.630
Pd -4.330 -4.161 9.642
Pd -6.449 -3.488 2.852
Pd -10.435 -3.851 2.596
Pd -8.791 5.219 4.795
Pd -4.996 1.579 4.302
Pd -1.010 1.942 4.557
Pd -2.654 -7.128 2.359
Pd -2.129 5.795 6.646
Pd -7.115 2.252 -2.489
Pd -9.781 2.405 5.524
Pd -6.765 5.064 6.518
Pd -6.675 -5.906 3.947
Pd -10.344 -2.175 4.666
Pd -10.199 6.490 -0.486
Pd -9.469 1.922 -1.286
Pd -2.232 7.728 8.476
Pd -7.539 2.122 6.934
Pd -4.831 2.844 0.361
Pd -3.364 2.850 8.516
Pd -2.953 -1.037 7.621
Pd -10.510 8.161 1.566
Pd -7.459 3.459 1.825
Pd -5.122 -1.234 9.155
Pd -1.330 2.305 10.148
Pd -4.656 0.430 1.475
Pd -1.294 -1.395 10.180
Pd -7.469 0.912 2.608
Pd -3.455 -1.983 11.623
```

Calculated values
Formation energy, kJ per mole of atoms: -26.11

---

Number 1: total moment 0.00 μB/f.u.. Number 2: total moment 0.00 μB/f.u..